TlBAs2: optimized geometry, PBE.

Properties
E_form, eV/atom: 0.219
Space-group type: No. 122
Energy, eV/cell: -34.94
Relative energy among the computed polymorphs, meV per atom: 0.0

Unit cell a=5.7039 b=5.7039 c=6.5643 alpha=64.25 beta=64.25 gamma=90.00
Last column: nearest neighbours and their distance in Å.
Element x y z (fractional)
As (0.5375, 0.1250, 0.2500)  2 B 2.14
As (0.2125, 0.6250, 0.2500)  2 B 2.14
As (0.8750, 0.7875, 0.7500)  2 B 2.14
As (0.3750, 0.4625, 0.7500)  2 B 2.14
Tl (0.0000, 0.0000, 0.0000)  4 As 2.72
Tl (0.7500, 0.2500, 0.5000)  4 As 2.72
B (0.2500, 0.7500, 0.5000)  4 As 2.14
B (0.5000, 0.5000, 0.0000)  4 As 2.14

=====

CsRbThF6: optimized geometry, PBE.

Properties
Space-group type: No. 163
Energy, eV/cell: -104.94
Formation energy (no corrections), kJ/mol of atoms: -343.1

Unit cell a=7.1390 b=7.1390 c=10.4089 alpha=90.00 beta=90.00 gamma=120.00
Last column: nearest neighbours and their distance in Å.
Element x y z (fractional)
Cs (0.0000, 0.0000, 0.0000)  6 F 3.03
Cs (0.0000, 0.0000, 0.5000)  6 F 3.03
F (0.3391, 0.9374, 0.6367)  1 Th 2.25
F (0.3391, 0.4017, 0.8633)  1 Th 2.25
F (0.6609, 0.0626, 0.3633)  1 Th 2.25
F (0.9373, 0.5983, 0.3633)  1 Th 2.25
F (0.9373, 0.3391, 0.1367)  1 Th 2.25
F (0.0627, 0.6609, 0.8633)  1 Th 2.25
F (0.4017, 0.3391, 0.3633)  1 Th 2.25
F (0.5983, 0.9374, 0.8633)  1 Th 2.25
F (0.0627, 0.4017, 0.6367)  1 Th 2.25
F (0.4017, 0.0626, 0.1367)  1 Th 2.25
F (0.6609, 0.5983, 0.1367)  1 Th 2.25
F (0.5983, 0.6609, 0.6367)  1 Th 2.25
Rb (0.3333, 0.6667, 0.2500)  6 F 2.87
Rb (0.6667, 0.3333, 0.7500)  6 F 2.87
Th (0.6667, 0.3333, 0.2500)  6 F 2.25
Th (0.3333, 0.6667, 0.7500)  6 F 2.25

=====

SrV2CdRu: optimized geometry, PBE.

Properties
E_form, eV/atom: 0.488
Space-group type: No. 123
Energy, eV/cell: -27.67

Unit cell a=4.7419 b=5.2951 c=4.7419 alpha=90.00 beta=90.00 gamma=90.00
Last column: nearest neighbours and their distance in Å.
Element x y z (fractional)
Cd (0.0000, 0.5000, 0.0000)  2 Ru 2.65
V (0.5000, 0.0000, 0.0000)  2 Ru 2.37
V (0.0000, 0.0000, 0.5000)  2 Ru 2.37
Sr (0.5000, 0.5000, 0.5000)  4 Cd 3.35, 8 V 3.55
Ru (0.0000, 0.0000, 0.0000)  4 V 2.37, 2 Cd 2.65

=====

PmScNiOs: optimized geometry, PBE.

Properties
E_form, eV/atom: -0.236
Space-group type: No. 216
Energy, eV/cell: -29.04

Unit cell a=4.7345 b=4.7345 c=4.7345 alpha=60.00 beta=60.00 gamma=60.00
Last column: nearest neighbours and their distance in Å.
Element x y z (fractional)
Sc (0.0000, 0.0000, 0.0000)  4 Os 2.90, 4 Ni 2.90
Os (0.7500, 0.7500, 0.7500)  4 Pm 2.90, 4 Sc 2.90
Pm (0.5000, 0.5000, 0.5000)  4 Os 2.90, 4 Ni 2.90
Ni (0.2500, 0.2500, 0.2500)  4 Pm 2.90, 4 Sc 2.90

=====

K2NaAl3F12: optimized geometry, PBE.

Properties
Space-group type: No. 11
Energy, eV/cell: -195.55
Formation energy (no corrections), kJ/mol of atoms: -324.7
Relative energy among the computed polymorphs, meV per atom: 0.0

Unit cell a=7.0793 b=7.0457 c=9.8111 alpha=89.79 beta=90.00 gamma=90.00
Last column: nearest neighbours and their distance in Å.
Element x y z (fractional)
Al (0.5000, 0.5000, 0.0000)  6 F 1.78-1.87
Al (0.7500, 0.3067, 0.2803)  6 F 1.75-1.87
Al (0.0000, 0.5000, 0.0000)  6 F 1.78-1.87
Al (0.5000, 0.0000, 0.5000)  6 F 1.78-1.87
Al (0.2500, 0.6933, 0.7197)  6 F 1.75-1.87
Al (0.0000, 0.0000, 0.5000)  6 F 1.78-1.87
Na (0.2500, 0.2093, 0.7598)  6 F 2.28-2.39
Na (0.7500, 0.7907, 0.2402)  6 F 2.28-2.39
F (0.7500, 0.1032, 0.1780)  1 Al 1.75
F (0.5397, 0.1347, 0.6504)  1 Al 1.78
F (0.5602, 0.4173, 0.1742)  2 Al 1.85-1.87
F (0.5434, 0.7375, 0.0512)  1 Al 1.78
F (0.9566, 0.7375, 0.0512)  1 Al 1.78
F (0.4566, 0.2625, 0.9488)  1 Al 1.78
F (0.7500, 0.4741, 0.9418)  2 Al 1.87
F (0.0397, 0.8653, 0.3496)  1 Al 1.78
F (0.2500, 0.0790, 0.5010)  2 Al 1.86
F (0.4603, 0.8653, 0.3496)  1 Al 1.78
F (0.2500, 0.5259, 0.0582)  2 Al 1.87
F (0.2500, 0.8968, 0.8220)  1 Al 1.75
F (0.0434, 0.2625, 0.9488)  1 Al 1.78
F (0.2500, 0.4813, 0.6215)  1 Al 1.78
F (0.0617, 0.7885, 0.6061)  2 Al 1.86-1.87
F (0.7500, 0.9210, 0.4990)  2 Al 1.86
F (0.4383, 0.7885, 0.6061)  2 Al 1.86-1.87
F (0.7500, 0.5187, 0.3785)  1 Al 1.78
F (0.4398, 0.5827, 0.8258)  2 Al 1.85-1.87
F (0.9398, 0.4173, 0.1742)  2 Al 1.85-1.87
F (0.9383, 0.2115, 0.3939)  2 Al 1.86-1.87
F (0.9603, 0.1347, 0.6504)  1 Al 1.78
F (0.0602, 0.5827, 0.8258)  2 Al 1.85-1.87
F (0.5617, 0.2115, 0.3939)  2 Al 1.86-1.87
K (0.7500, 0.0165, 0.8981)  7 F 2.75-2.97
K (0.7500, 0.4624, 0.6417)  3 F 2.61-2.75
K (0.2500, 0.5376, 0.3583)  3 F 2.61-2.75
K (0.2500, 0.9835, 0.1019)  7 F 2.75-2.97

=====

LiLaMgGa2: optimized geometry, PBE.

Properties
E_form, eV/atom: -0.285
Space-group type: No. 51
Energy, eV/cell: -31.83

Unit cell a=6.5621 b=5.2755 c=6.3756 alpha=90.00 beta=90.00 gamma=90.00
Last column: nearest neighbours and their distance in Å.
Element x y z (fractional)
Ga (0.2741, 0.7500, 0.7495)  2 Li 2.74, 1 Mg 2.79
Ga (0.7259, 0.2500, 0.7495)  2 Li 2.74, 1 Mg 2.79
Ga (0.7259, 0.2500, 0.2505)  2 Li 2.74, 1 Mg 2.79
Ga (0.2741, 0.7500, 0.2505)  2 Li 2.74, 1 Mg 2.79
Mg (0.6227, 0.7500, 0.0000)  2 Ga 2.79, 2 Li 2.81, 2 Mg 3.09
Mg (0.3773, 0.2500, 0.0000)  2 Ga 2.79, 2 Li 2.81, 2 Mg 3.09
Li (0.0000, 0.5000, 0.0000)  2 Li 2.64, 4 Ga 2.74, 2 Mg 2.81
Li (0.0000, 0.0000, 0.0000)  2 Li 2.64, 4 Ga 2.74, 2 Mg 2.81
La (0.2256, 0.2500, 0.5000)  4 Ga 3.10, 2 Mg 3.34
La (0.7744, 0.7500, 0.5000)  4 Ga 3.10, 2 Mg 3.34

=====

NaInSe2: optimized geometry, PBE.

Properties
Space-group type: No. 33
Energy, eV/cell: -57.25
Formation energy (no corrections), kJ/mol of atoms: -79.3

Unit cell a=7.4881 b=9.4867 c=7.1795 alpha=90.00 beta=90.00 gamma=90.00
Last column: nearest neighbours and their distance in Å.
Element x y z (fractional)
Se (0.0502, 0.8877, 0.6339)  2 In 2.61-2.63, 2 Na 2.88-2.89
Se (0.4037, 0.8566, 0.1065)  2 In 2.62-2.64, 2 Na 2.91
Se (0.9498, 0.1123, 0.1339)  2 In 2.61-2.63, 2 Na 2.88-2.89
Se (0.4498, 0.3877, 0.1339)  2 In 2.61-2.63, 2 Na 2.88-2.89
Se (0.5502, 0.6123, 0.6339)  2 In 2.61-2.63, 2 Na 2.88-2.89
Se (0.5963, 0.1434, 0.6065)  2 In 2.62-2.64, 2 Na 2.91
Se (0.9037, 0.6434, 0.1065)  2 In 2.62-2.64, 2 Na 2.91
Se (0.0963, 0.3566, 0.6065)  2 In 2.62-2.64, 2 Na 2.91
In (0.0677, 0.8738, 0.9993)  4 Se 2.61-2.64
In (0.4323, 0.3738, 0.4993)  4 Se 2.61-2.64
In (0.9323, 0.1262, 0.4993)  4 Se 2.61-2.64
In (0.5677, 0.6262, 0.9993)  4 Se 2.61-2.64
Na (0.0843, 0.3821, 0.0101)  4 Se 2.88-2.91
Na (0.5843, 0.1179, 0.0101)  4 Se 2.88-2.91
Na (0.9157, 0.6179, 0.5101)  4 Se 2.88-2.91
Na (0.4157, 0.8821, 0.5101)  4 Se 2.88-2.91

=====

Bi3ClF: optimized geometry, PBE.

Properties
Space-group type: No. 221
Energy, eV/cell: -16.26
Formation energy (no corrections), kJ/mol of atoms: -17.4
Relative energy among the computed polymorphs, meV per atom: 0.0

Unit cell a=5.1382 b=5.1382 c=5.1382 alpha=90.00 beta=90.00 gamma=90.00
Last column: nearest neighbours and their distance in Å.
Element x y z (fractional)
F (0.0000, 0.0000, 0.0000)  6 Bi 2.57
Cl (0.5000, 0.5000, 0.5000)  12 Bi 3.63
Bi (0.5000, 0.0000, 0.0000)  2 F 2.57
Bi (0.0000, 0.5000, 0.0000)  2 F 2.57
Bi (0.0000, 0.0000, 0.5000)  2 F 2.57